a) Below is crystalline LuMgCdHg at its relaxed geometry, with properties calculated at the GGA-PBE level.

Structure (POSCAR):
```
LuMgCdHg
1.0
0.000 3.548 3.548
3.548 0.000 3.548
3.548 3.548 0.000
Lu Mg Cd Hg
1 1 1 1
Cartesian
0.000 0.000 0.000
3.548 3.548 3.548
1.774 1.774 1.774
5.322 5.322 5.322
```

Space-group type = F-43m (216)

---

b) Below is crystalline LuMgCdHg at its relaxed geometry, with properties calculated at the GGA-PBE level.

Structure (POSCAR):
```
LuMgCdHg
1.0
0.000 3.552 3.552
3.552 0.000 3.552
3.552 3.552 0.000
Lu Mg Cd Hg
1 1 1 1
Cartesian
0.000 0.000 0.000
1.776 1.776 1.776
3.552 3.552 3.552
5.328 5.328 5.328
```

Space-group type = F-43m (216)

---

c) Below is crystalline LuMgCdHg at its relaxed geometry, with properties calculated at the GGA-PBE level.

Structure (POSCAR):
```
LuMgCdHg
1.0
0.000 3.552 3.552
3.552 0.000 3.552
3.552 3.552 0.000
Lu Mg Cd Hg
1 1 1 1
Cartesian
0.000 0.000 0.000
5.328 5.328 5.328
1.776 1.776 1.776
3.552 3.552 3.552
```

Space-group type = F-43m (216)

---

Energies relative to the minimum, meV per atom: a) 0; b) 156; c) 227

---

a) Below is crystalline CdHgPO at its relaxed geometry, with properties calculated at the GGA-PBE level.

Structure (POSCAR):
```
CdHgPO
1.0
3.290 0.000 0.000
0.000 7.358 0.000
0.000 0.000 6.682
Cd Hg P O
2 2 2 2
Cartesian
0.000 0.856 0.000
0.000 6.502 3.341
1.645 2.519 2.847
1.645 4.839 6.187
1.645 2.494 5.408
1.645 4.864 2.067
0.000 0.984 2.167
0.000 6.374 5.508
```

Space-group type = Pmc2_1 (26)

---

b) Below is crystalline CdHgPO at its relaxed geometry, with properties calculated at the GGA-PBE level.

Structure (POSCAR):
```
CdHgPO
1.0
4.327 0.000 0.000
0.000 4.327 0.000
0.000 0.000 8.760
Cd Hg P O
2 2 2 2
Cartesian
1.082 1.082 0.535
3.245 3.245 8.225
1.082 3.245 4.380
3.245 1.082 4.380
1.082 1.082 5.972
3.245 3.245 2.789
1.082 3.245 0.000
3.245 1.082 0.000
```

Space-group type = P4/nmm (129)

---

c) Below is crystalline CdHgPO at its relaxed geometry, with properties calculated at the GGA-PBE level.

Structure (POSCAR):
```
CdHgPO
1.0
4.386 0.000 0.000
0.000 4.386 0.000
0.000 0.000 8.601
Cd Hg P O
2 2 2 2
Cartesian
1.096 3.289 0.000
3.289 1.096 0.000
1.096 1.096 3.667
3.289 3.289 4.934
1.096 1.096 7.117
3.289 3.289 1.484
1.096 3.289 4.301
3.289 1.096 4.301
```

Space-group type = P4/nmm (129)

---

d) Below is crystalline CdHgPO at its relaxed geometry, with properties calculated at the GGA-PBE level.

Structure (POSCAR):
```
CdHgPO
1.0
3.483 0.000 0.000
0.000 7.156 0.000
0.000 0.000 6.623
Cd Hg P O
2 2 2 2
Cartesian
0.000 1.523 0.000
0.000 5.634 3.312
1.742 2.363 3.658
1.742 4.793 0.347
0.000 0.934 2.497
0.000 6.223 5.809
1.742 2.686 5.913
1.742 4.470 2.602
```

Space-group type = Pmc2_1 (26)

---

Energies relative to the minimum, meV per atom: a) 0; b) 139; c) 367; d) 12

---

a) Below is crystalline CdHgSeO at its relaxed geometry, with properties calculated at the GGA-PBE level.

Structure (POSCAR):
```
CdHgSeO
1.0
5.138 0.000 0.000
0.000 5.138 0.000
0.000 0.000 6.974
Cd Hg Se O
2 2 2 2
Cartesian
1.284 1.284 1.285
3.853 3.853 5.689
1.284 1.284 5.308
3.853 3.853 1.666
1.284 3.853 0.000
3.853 1.284 0.000
1.284 1.284 3.302
3.853 3.853 3.673
```

Space-group type = P4/nmm (129)

---

b) Below is crystalline CdHgSeO at its relaxed geometry, with properties calculated at the GGA-PBE level.

Structure (POSCAR):
```
CdHgSeO
1.0
6.835 0.000 0.000
0.000 7.380 0.000
0.000 0.000 7.622
Cd Hg Se O
4 4 4 4
Cartesian
0.476 1.486 3.199
2.941 5.893 7.010
3.894 2.204 4.423
6.358 5.176 0.612
0.567 5.419 4.737
2.850 1.960 0.926
3.985 5.650 2.885
6.267 1.730 6.697
1.160 6.320 2.483
2.258 1.060 6.294
4.577 4.750 5.140
5.675 2.630 1.328
1.031 4.864 6.719
2.387 2.515 2.908
4.448 6.205 0.903
5.804 1.175 4.715
```

Space-group type = P2_12_12_1 (19)

---

Energies relative to the minimum, meV per atom: a) 475; b) 0

---

a) Below is crystalline CdHgTeO at its relaxed geometry, with properties calculated at the GGA-PBE level.

Structure (POSCAR):
```
CdHgTeO
1.0
4.409 0.000 0.000
0.000 12.680 0.000
0.000 0.000 7.049
Cd Hg Te O
4 4 4 4
Cartesian
1.081 3.170 0.000
1.081 3.170 3.524
3.328 9.510 0.000
3.328 9.510 3.524
1.141 6.960 1.762
1.141 12.060 5.286
3.268 0.620 1.762
3.268 5.720 5.286
0.487 7.822 5.286
0.487 11.198 1.762
3.922 1.482 5.286
3.922 4.858 1.762
2.084 2.338 1.762
2.084 4.002 5.286
2.325 8.678 1.762
2.325 10.341 5.286
```

Space-group type = Pbcm (57)

---

b) Below is crystalline CdHgTeO at its relaxed geometry, with properties calculated at the GGA-PBE level.

Structure (POSCAR):
```
CdHgTeO
1.0
6.136 0.000 0.000
0.000 3.999 0.000
0.000 0.000 15.189
Cd Hg Te O
4 4 4 4
Cartesian
1.290 1.000 1.563
1.778 3.000 9.157
4.359 1.000 6.032
4.846 3.000 13.626
1.025 3.000 4.685
2.043 1.000 12.279
4.094 3.000 2.910
5.111 1.000 10.505
1.509 1.000 6.628
1.559 3.000 14.222
4.577 1.000 0.967
4.628 3.000 8.561
1.414 1.000 10.179
1.655 3.000 2.584
4.482 1.000 12.605
4.723 3.000 5.010
```

Space-group type = Pnma (62)

---

Energies relative to the minimum, meV per atom: a) 0; b) 102

---

a) Below is crystalline CdHgPbSe3 at its relaxed geometry, with properties calculated at the GGA-PBE level.

Structure (POSCAR):
```
CdHgPbSe3
1.0
2.054 -6.977 0.000
2.054 6.977 0.000
0.000 0.000 11.772
Cd Hg Pb Se
2 2 2 6
Cartesian
2.054 6.912 8.829
2.054 -6.912 2.943
2.054 0.000 0.000
2.054 0.000 5.886
2.054 3.104 2.943
2.054 -3.104 8.829
2.054 5.218 6.758
2.054 5.218 10.900
2.054 1.649 8.829
2.054 -1.649 2.943
2.054 -5.218 0.872
2.054 -5.218 5.014
```

Space-group type = Cmcm (63)

---

b) Below is crystalline CdHgPbSe3 at its relaxed geometry, with properties calculated at the GGA-PBE level.

Structure (POSCAR):
```
CdHgPbSe3
1.0
2.059 -6.931 0.000
2.059 6.931 0.000
0.000 0.000 11.224
Cd Hg Pb Se
2 2 2 6
Cartesian
0.000 0.000 0.000
0.000 0.000 5.612
2.059 0.330 8.418
2.059 -0.330 2.806
2.059 3.686 2.806
2.059 -3.686 8.418
2.059 5.476 8.418
2.059 1.892 6.266
2.059 1.892 10.570
2.059 -1.892 0.654
2.059 -1.892 4.958
2.059 -5.476 2.806
```

Space-group type = Cmcm (63)

---

Energies relative to the minimum, meV per atom: a) 0; b) 6

---

a) Below is crystalline CdHgTe3Pb at its relaxed geometry, with properties calculated at the GGA-PBE level.

Structure (POSCAR):
```
CdHgTe3Pb
1.0
2.203 -8.091 0.000
2.203 8.091 0.000
0.000 0.000 10.665
Cd Hg Te Pb
2 2 6 2
Cartesian
2.203 7.492 7.999
2.203 -7.492 2.666
2.203 0.000 0.000
2.203 0.000 5.333
2.203 5.557 5.928
2.203 5.557 10.070
2.203 1.264 7.999
2.203 -1.264 2.666
2.203 -5.557 0.595
2.203 -5.557 4.737
2.203 3.851 2.666
2.203 -3.851 7.999
```

Space-group type = Cmcm (63)

---

b) Below is crystalline CdHgTe3Pb at its relaxed geometry, with properties calculated at the GGA-PBE level.

Structure (POSCAR):
```
CdHgTe3Pb
1.0
2.181 -7.255 0.000
2.181 7.255 0.000
0.000 0.000 11.889
Cd Hg Te Pb
2 2 6 2
Cartesian
0.000 0.000 0.000
0.000 0.000 5.945
2.181 0.393 8.917
2.181 -0.393 2.972
2.181 5.739 8.917
2.181 2.040 6.618
2.181 2.040 11.217
2.181 -2.040 0.673
2.181 -2.040 5.272
2.181 -5.739 2.972
2.181 3.928 2.972
2.181 -3.928 8.917
```

Space-group type = Cmcm (63)

---

Energies relative to the minimum, meV per atom: a) 29; b) 0